# Cu3Ni2Pd6 GGA-PBE relaxed
# Formation energy from the elements (eV/atom): -0.018
# ρ (g/cm³): 10.34
data_Cu3Ni2Pd6
_cell_length_a 4.663
_cell_length_b 6.004
_cell_length_c 6.083
_cell_angle_alpha 107.41
_cell_angle_beta 105.34
_cell_angle_gamma 98.27
_symmetry_space_group_name_H-M 'P -1'
_symmetry_Int_Tables_number 2
loop_
_symmetry_equiv_pos_as_xyz
'x,y,z'
'-x,-y,-z'
loop_
_atom_site_label
_atom_site_fract_x
_atom_site_fract_y
_atom_site_fract_z
Cu1 0.000 0.000 0.000
Cu2 0.365 0.275 0.457
Ni1 0.457 0.088 0.823
Pd1 0.104 0.831 0.363
Pd2 0.186 0.651 0.730
Pd3 0.278 0.452 0.095